1.
## ThGe4Ru4 (GGA-PBE)

Data for ThGe4Ru4 after structural relaxation.

The energy of formation comes out at -357 meV per atom. The value obtained for the total energy is -132.40 eV for the cell shown.

Cell lengths 6.094, 6.094, 8.310 Å; angles 90.00, 90.00, 90.00 degrees
Space group P4_2/nmc (No. 137, origin choice 2)
Inequivalent atoms, fractional coordinates:
Th  0.250  0.750  0.250 x2
Ge  0.044  0.250  0.071 x8
Ru  0.015  0.250  0.368 x8

=====

2.
## TlZnCu (GGA-PBE)

Data for TlZnCu after structural relaxation.

The energy of formation comes out at 212 meV per atom. The value obtained for the total energy is -28.40 eV for the cell shown. The excess energy over the best structure of this formula in the dataset comes out at 0.026 eV per formula unit.

Cell lengths 6.216, 6.216, 6.216 Å; angles 90.00, 90.00, 90.00 degrees
Space group F-43m (No. 216)
Inequivalent atoms, fractional coordinates:
Tl  0.000  0.000  0.000 x4
Zn  0.000  0.000  0.500 x4
Cu  0.250  0.250  0.250 x4